No. 1
# Na2ReCl8 | Alexandria | PBE | optimized geometry
data_Na2ReCl8
_space_group_name_H-M_alt 'C 1 2/m 1'
_space_group_IT_number 12
_space_group_name_Hall '-C 2y'
_cell_length_a 20.244
_cell_length_b 4.787
_cell_length_c 6.250
_cell_angle_alpha 90.00
_cell_angle_beta 95.45
_cell_angle_gamma 90.00
loop_
_atom_site_label
_atom_site_type_symbol
_atom_site_fract_x
_atom_site_fract_y
_atom_site_fract_z
_atom_site_occupancy
Na1 Na 0.227 0.000 0.222 1
Re1 Re 0.000 0.500 0.000 1
Cl1 Cl 0.033 0.000 0.830 1
Cl2 Cl 0.063 0.500 0.696 1
Cl3 Cl 0.098 0.500 0.216 1
Cl4 Cl 0.218 0.000 0.746 1
# E_form (uncorrected), eV/f.u.: -7.32
# Total magnetic moment, μB/f.u.: 1.2
# Offset from the most stable computed form, meV per atom: 202
# VASP energy, hartree per atom: -0.124
# Fermi-level density of states, states/eV per atom: 0.532

No. 2
# Na2ReCl6 | Alexandria | PBE | optimized geometry
data_Na2ReCl6
_space_group_name_H-M_alt 'P 1 21/c 1'
_space_group_IT_number 14
_space_group_name_Hall '-P 2ybc'
_cell_length_a 6.700
_cell_length_b 7.039
_cell_length_c 11.654
_cell_angle_alpha 90.00
_cell_angle_beta 122.35
_cell_angle_gamma 90.00
loop_
_atom_site_label
_atom_site_type_symbol
_atom_site_fract_x
_atom_site_fract_y
_atom_site_fract_z
_atom_site_occupancy
Na1 Na 0.194 0.088 0.230 1
Re1 Re 0.500 0.000 0.000 1
Cl1 Cl 0.162 0.184 0.947 1
Cl2 Cl 0.265 0.720 0.930 1
Cl3 Cl 0.409 0.047 0.775 1
# E_form (uncorrected), eV/f.u.: -10.42
# Total magnetic moment, μB/f.u.: 3.0
# Offset from the most stable computed form, meV per atom: 0
# VASP energy, hartree per atom: -0.149

No. 3
# Na3ReCl8 | Alexandria | PBE | optimized geometry
data_Na3ReCl8
_space_group_name_H-M_alt 'C 2 2 2'
_space_group_IT_number 21
_space_group_name_Hall 'C 2 2'
_cell_length_a 7.720
_cell_length_b 11.602
_cell_length_c 8.181
_cell_angle_alpha 90.00
_cell_angle_beta 90.00
_cell_angle_gamma 90.00
loop_
_atom_site_label
_atom_site_type_symbol
_atom_site_fract_x
_atom_site_fract_y
_atom_site_fract_z
_atom_site_occupancy
Na1 Na 0.000 0.000 0.000 1
Na2 Na 0.250 0.250 0.779 1
Re1 Re 0.000 0.000 0.500 1
Cl1 Cl 0.000 0.202 0.500 1
Cl2 Cl 0.000 0.228 0.000 1
Cl3 Cl 0.217 0.002 0.701 1
# E_form (uncorrected), eV/f.u.: -13.56
# Total magnetic moment, μB/f.u.: 2.0
# VASP energy, hartree per atom: -0.137
# Fermi-level density of states, states/eV per atom: 0.984

No. 4
# Na2ReCl8 | Alexandria | PBE | optimized geometry
data_Na2ReCl8
_space_group_name_H-M_alt 'C 1 2/m 1'
_space_group_IT_number 12
_space_group_name_Hall '-C 2y'
_cell_length_a 14.244
_cell_length_b 6.290
_cell_length_c 7.142
_cell_angle_alpha 90.00
_cell_angle_beta 98.14
_cell_angle_gamma 90.00
loop_
_atom_site_label
_atom_site_type_symbol
_atom_site_fract_x
_atom_site_fract_y
_atom_site_fract_z
_atom_site_occupancy
Na1 Na 0.172 0.000 0.074 1
Re1 Re 0.000 0.000 0.500 1
Cl1 Cl 0.027 0.253 0.733 1
Cl2 Cl 0.160 0.000 0.473 1
Cl3 Cl 0.183 0.500 0.114 1
# E_form (uncorrected), eV/f.u.: -9.55
# Total magnetic moment, μB/f.u.: 1.0
# Offset from the most stable computed form, meV per atom: 0
# VASP energy, hartree per atom: -0.132
# Fermi-level density of states, states/eV per atom: 0.481

No. 5
# NaRe3Cl | Alexandria | PBE | optimized geometry
data_NaRe3Cl
_space_group_name_H-M_alt 'P m -3 m'
_space_group_IT_number 221
_space_group_name_Hall '-P 4 2 3'
_cell_length_a 4.711
_cell_length_b 4.711
_cell_length_c 4.711
_cell_angle_alpha 90.00
_cell_angle_beta 90.00
_cell_angle_gamma 90.00
loop_
_atom_site_label
_atom_site_type_symbol
_atom_site_fract_x
_atom_site_fract_y
_atom_site_fract_z
_atom_site_occupancy
Na1 Na 0.000 0.000 0.000 1
Re1 Re 0.000 0.000 0.500 1
Cl1 Cl 0.500 0.500 0.500 1
# E_form (uncorrected), eV/f.u.: 18.16
# Total magnetic moment, μB/f.u.: 7.0
# Offset from the most stable computed form, meV per atom: 1790
# VASP energy, hartree per atom: -0.164
# Fermi-level density of states, states/eV per atom: 1.921

No. 6
# Na3ReCl7 | Alexandria | PBE | optimized geometry
data_Na3ReCl7
_space_group_name_H-M_alt 'C 1 m 1'
_space_group_IT_number 8
_space_group_name_Hall 'C -2y'
_cell_length_a 11.288
_cell_length_b 8.829
_cell_length_c 6.737
_cell_angle_alpha 90.00
_cell_angle_beta 96.68
_cell_angle_gamma 90.00
loop_
_atom_site_label
_atom_site_type_symbol
_atom_site_fract_x
_atom_site_fract_y
_atom_site_fract_z
_atom_site_occupancy
Na1 Na 0.000 0.000 0.000 1
Na2 Na 0.178 0.270 0.463 1
Re1 Re 0.171 0.500 0.964 1
Cl1 Cl 0.050 0.308 0.796 1
Cl2 Cl 0.051 0.500 0.230 1
Cl3 Cl 0.101 0.000 0.373 1
Cl4 Cl 0.297 0.500 0.695 1
Cl5 Cl 0.298 0.311 0.122 1
# E_form (uncorrected), eV/f.u.: -13.61
# Total magnetic moment, μB/f.u.: 3.0
# VASP energy, hartree per atom: -0.143

No. 7
# Na2ReCl6 | Alexandria | PBE | optimized geometry
data_Na2ReCl6
_space_group_name_H-M_alt 'P 42/m n m'
_space_group_IT_number 136
_space_group_name_Hall '-P 4n 2n'
_cell_length_a 6.331
_cell_length_b 6.331
_cell_length_c 11.986
_cell_angle_alpha 90.00
_cell_angle_beta 90.00
_cell_angle_gamma 90.00
loop_
_atom_site_label
_atom_site_type_symbol
_atom_site_fract_x
_atom_site_fract_y
_atom_site_fract_z
_atom_site_occupancy
Na1 Na 0.000 0.000 0.166 1
Re1 Re 0.000 0.000 0.500 1
Cl1 Cl 0.184 0.184 0.357 1
Cl2 Cl 0.234 0.234 0.000 1
# E_form (uncorrected), eV/f.u.: -10.18
# Total magnetic moment, μB/f.u.: 3.0
# Offset from the most stable computed form, meV per atom: 26
# VASP energy, hartree per atom: -0.148

No. 8
# Na3ReCl | Alexandria | PBE | optimized geometry
data_Na3ReCl
_space_group_name_H-M_alt 'P m -3 m'
_space_group_IT_number 221
_space_group_name_Hall '-P 4 2 3'
_cell_length_a 5.232
_cell_length_b 5.232
_cell_length_c 5.232
_cell_angle_alpha 90.00
_cell_angle_beta 90.00
_cell_angle_gamma 90.00
loop_
_atom_site_label
_atom_site_type_symbol
_atom_site_fract_x
_atom_site_fract_y
_atom_site_fract_z
_atom_site_occupancy
Na1 Na 0.000 0.000 0.500 1
Re1 Re 0.500 0.500 0.500 1
Cl1 Cl 0.000 0.000 0.000 1
# E_form (uncorrected), eV/f.u.: 3.01
# Total magnetic moment, μB/f.u.: 3.4
# Offset from the most stable computed form, meV per atom: 0
# VASP energy, hartree per atom: -0.112
# Fermi-level density of states, states/eV per atom: 0.538